RbSI2N, optimized geometry, DFT PBE; space-group type = P4/mmm (123); final energy = -7.68 eV for the cell shown; energy above the most stable polymorph in this dataset = 1634 meV per atom; Fermi-level density of states = 2.96 states/eV/atom
1.0
6.642 0.000 0.000
0.000 6.642 0.000
0.000 0.000 4.512
Rb S I N
1 1 2 1
Direct
0.000 0.000 0.000 Rb
0.500 0.500 0.500 S
0.000 0.500 0.000 I
0.500 0.000 0.000 I
0.000 0.000 0.500 N